# PtPb2Cl

An optimized crystal structure of PtPb2Cl (PBE-GGA, Alexandria via LeMat-Bulk).

Unit cell a=3.926 b=3.926 c=7.953 alpha=90.00 beta=90.00 gamma=90.02
Fractional positions:
Cl (0.500, 0.500, 0.827)
Pb (0.500, 0.500, 0.390)
Pb (0.000, 0.000, 0.974)
Pt (0.000, 0.000, 0.310)

Properties
Formation energy from raw total energies: -290 meV per atom
Relative energy among the computed polymorphs: 177 meV/atom
Space group: P4mm
M_tot: 0.0 μB/cell
V: 30.649 A^3/atom